PaNi2Se6 GGA-PBE optimized geometry; total magnetization = 0.00 μB per cell; final energy = -5.2070 eV/atom; symmetry = No. 12; calculated volume = 207.88 Å³ per cell
1.0
-2.411 0.957 3.909
0.608 -5.057 4.429
4.962 2.012 5.383
Se Pa Ni
6 1 2
Cartesian
0.631 0.074 6.002
0.155 -1.418 3.258
3.951 0.992 5.009
3.004 -0.670 10.462
-0.792 -3.080 8.711
2.528 -2.162 7.719
2.785 -1.523 4.906
4.599 -1.739 8.893
-1.440 -0.349 4.827

HgSe2F GGA-PBE optimized geometry; total magnetization = 0.00 μB per cell; final energy = -2.3200 eV/atom; symmetry = No. 166; relative energy among the computed polymorphs = 276 meV per atom; calculated volume = 76.43 Å³ per cell
1.0
1.782 0.000 9.260
-0.891 1.544 9.260
-0.891 -1.544 9.260
Se F Hg
2 1 1
Cartesian
0.000 0.000 2.633
0.000 0.000 25.148
0.000 0.000 13.890
0.000 0.000 0.000

NdEr2Bi3 GGA-PBE optimized geometry; total magnetization = 0.00 μB per cell; final energy = -5.1061 eV/atom; DFT formation energy = -82.0 kJ per mole of atoms; symmetry = No. 71; calculated volume = 193.77 Å³ per cell
1.0
-4.273 -0.471 1.338
0.060 -6.071 -1.945
4.232 1.335 6.412
Bi Er Nd
3 2 1
Cartesian
2.881 -3.037 4.343
-0.021 0.432 3.875
-2.862 -2.170 1.461
2.816 0.030 5.218
-2.797 -5.237 0.586
0.010 -2.603 2.902

HfTi2PbO GGA-PBE optimized geometry; total magnetization = 0.01 μB per cell; final energy = -7.7941 eV/atom; symmetry = No. 123; calculated volume = 81.68 Å³ per cell
1.0
4.201 0.000 0.000
0.000 4.201 0.000
0.000 0.000 4.629
O Ti Hf Pb
1 2 1 1
Cartesian
0.000 0.000 0.000
2.100 0.000 0.000
0.000 2.100 0.000
0.000 0.000 2.314
2.100 2.100 2.314

RbAg2Hg2 GGA-PBE optimized geometry; total magnetization = 0.00 μB per cell; final energy = -1.4240 eV/atom; DFT formation energy = 3.0 kJ per mole of atoms; symmetry = No. 127; relative energy among the computed polymorphs = 80 meV per atom; calculated volume = 254.11 Å³ per cell
1.0
8.957 0.000 0.000
0.000 8.957 0.000
0.000 0.000 3.167
Hg Rb Ag
4 2 4
Cartesian
5.609 1.130 0.000
3.348 7.827 0.000
1.130 3.348 0.000
7.827 5.609 0.000
4.478 4.478 0.000
0.000 0.000 0.000
1.499 5.978 1.584
2.979 1.499 1.584
5.978 7.458 1.584
7.458 2.979 1.584

Na3Ce2ZrS6 GGA-PBE optimized geometry; total magnetization = 2.98 μB per cell; final energy = -5.7294 eV/atom; symmetry = No. 12; calculated volume = 276.55 Å³ per cell
1.0
-0.250 4.652 -5.074
-5.263 -4.339 0.959
-1.031 4.310 5.566
Ce S Na Zr
2 6 3 1
Cartesian
-3.593 -1.344 -1.051
-1.920 1.656 -3.064
-2.322 -0.350 1.268
-5.803 2.138 2.084
-4.223 4.973 0.182
-4.432 1.221 -1.864
-2.113 3.402 3.314
-0.741 2.484 -0.633
-4.943 -0.685 2.736
-1.602 5.307 -1.285
-3.272 2.311 0.725
0.000 0.000 0.000

Mo3RuW GGA-PBE optimized geometry; total magnetization = 0.00 μB per cell; final energy = -9.0937 eV/atom; DFT formation energy = 178.6 kJ per mole of atoms; symmetry = No. 221; relative energy among the computed polymorphs = 0 meV per atom; calculated volume = 97.44 Å³ per cell
1.0
-4.288 1.401 0.908
-1.580 -4.213 -0.963
0.538 -1.209 4.407
Mo W Ru
3 1 1
Cartesian
-2.144 0.700 0.454
0.269 -0.604 2.204
-0.790 -2.107 -0.481
-2.665 -2.011 2.176
0.000 0.000 0.000

GaBCl2 GGA-PBE optimized geometry; total magnetization = 0.00 μB per cell; final energy = -3.0538 eV/atom; symmetry = No. 166; relative energy among the computed polymorphs = 0 meV per atom; calculated volume = 93.20 Å³ per cell
1.0
1.849 0.000 10.491
-0.925 1.601 10.491
-0.925 -1.601 10.491
Cl Ga B
2 1 1
Cartesian
0.000 0.000 1.676
0.000 0.000 29.798
0.000 0.000 15.737
0.000 0.000 0.000

LiTcP2Cl GGA-PBE optimized geometry; total magnetization = 3.19 μB per cell; final energy = -4.0783 eV/atom; symmetry = No. 123; relative energy among the computed polymorphs = 982 meV per atom; calculated volume = 87.10 Å³ per cell
1.0
-3.071 -3.040 -0.874
2.427 -1.483 -3.368
2.062 -2.875 2.751
P Li Cl Tc
2 1 1 1
Cartesian
-1.535 -1.520 -0.437
1.213 -0.741 -1.684
0.000 0.000 0.000
1.031 -1.437 1.376
0.709 -3.699 -0.746

KAg12S6 GGA-PBE optimized geometry; total magnetization = 0.00 μB per cell; final energy = -3.2605 eV/atom; symmetry = No. 166; calculated volume = 416.58 Å³ per cell
1.0
7.480 0.470 0.662
-1.399 7.363 0.662
-1.399 -1.802 7.170
Ag K S
12 1 6
Cartesian
2.365 3.047 6.891
2.365 5.502 5.148
-0.477 5.203 4.246
5.159 0.827 4.246
2.341 0.106 6.312
-0.477 2.294 6.312
4.744 3.655 5.148
2.316 2.984 1.602
-0.062 2.375 3.345
2.316 0.529 3.345
2.341 5.925 2.181
5.159 3.737 2.181
0.000 0.000 0.000
4.441 5.721 3.828
4.108 1.300 1.830
0.241 0.310 4.665
4.441 1.729 6.663
0.241 4.302 1.830
0.574 4.731 6.663

TaTl2Cl GGA-PBE optimized geometry; total magnetization = 0.00 μB per cell; final energy = -4.2133 eV/atom; symmetry = No. 65; relative energy among the computed polymorphs = 488 meV per atom; calculated volume = 91.74 Å³ per cell
1.0
3.250 0.139 0.000
-1.167 3.036 0.000
0.000 0.000 9.149
Ta Tl Cl
1 2 1
Cartesian
1.041 1.587 6.862
0.000 0.000 4.597
0.000 0.000 9.127
1.041 1.587 2.287

SbPO2F GGA-PBE optimized geometry; total magnetization = 0.28 μB per cell; final energy = -4.6252 eV/atom; symmetry = No. 123; calculated volume = 80.42 Å³ per cell
1.0
-0.655 2.375 -2.912
-3.298 1.055 1.602
2.611 4.045 2.712
Sb F O P
1 1 2 1
Cartesian
0.000 0.000 0.000
-0.671 3.738 0.701
-0.328 1.188 -1.456
-1.649 0.527 0.801
1.305 2.023 1.356

LiCa3Si GGA-PBE optimized geometry; total magnetization = 0.74 μB per cell; final energy = -2.7526 eV/atom; symmetry = No. 221; relative energy among the computed polymorphs = 0 meV per atom; calculated volume = 189.30 Å³ per cell
1.0
5.742 0.000 0.000
0.000 5.742 0.000
0.000 0.000 5.742
Si Ca Li
1 3 1
Cartesian
0.000 0.000 0.000
0.000 0.000 2.871
0.000 2.871 0.000
2.871 0.000 0.000
2.871 2.871 2.871